# 1
TlSi2Au: relaxed, GGA-PBEsol.

Lattice parameters (Å, degrees): 4.3704 5.0796 7.2498 90.00 90.00 90.00
Last column: nearest neighbours and their distance in Å.
Space group Cmmm (No. 65)
One atom of each set of equivalent atoms:
Tl 0.0000 0.0000 0.0000  8 Si 3.16-3.42, 4 Tl 3.35
Si 0.0000 0.5000 0.3155  2 Au 2.56, 1 Si 2.68
Au 0.0000 0.0000 0.5000  4 Si 2.56

- E_form (uncorrected) (eV/atom) = 0.316
- N(E_F) (states/eV/cell) = 3.12
- magnetic moment (μB per formula unit) = 0.00
- energy relative to the lowest polymorph listed for this composition (meV/atom) = 168

---

# 2
ZrMoH2: relaxed, GGA-PBEsol.

Lattice parameters (Å, degrees): 5.4919 5.4919 5.4919 90.00 90.00 90.00
Last column: nearest neighbours and their distance in Å.
Space group Fm-3m (No. 225)
One atom of each set of equivalent atoms:
Zr 0.0000 0.0000 0.0000  8 H 2.38
Mo 0.0000 0.0000 0.5000  8 H 2.38
H 0.2500 0.2500 0.2500  4 Zr 2.38, 4 Mo 2.38

- N(E_F) (states/eV/cell) = 7.63
- magnetic moment (μB per formula unit) = 0.00
- uncorrected energy (eV per cell) = -104.11

---

# 3
Eu2Zr2O7: relaxed, GGA-PBEsol.

Lattice parameters (Å, degrees): 10.5686 10.5686 10.5686 90.00 90.00 90.00
Last column: nearest neighbours and their distance in Å.
Space group Fd-3m (No. 227, origin choice 2)
One atom of each set of equivalent atoms:
Eu 0.0000 0.0000 0.0000  8 O 2.29-2.54
Zr 0.0000 0.0000 0.5000  6 O 2.08
O 0.0867 0.3750 0.8750  2 Zr 2.08
O 0.1250 0.1250 0.1250  4 Eu 2.29

- E_form (uncorrected) (eV/atom) = -3.227
- N(E_F) (states/eV/cell) = 57.81
- magnetic moment (μB per formula unit) = 12.00

---

# 4
Cs3P6N11: relaxed, GGA-PBEsol.

Lattice parameters (Å, degrees): 10.6573 10.6573 10.6573 90.00 90.00 90.00
Last column: nearest neighbours and their distance in Å.
Space group P4_132 (No. 213)
One atom of each set of equivalent atoms:
Cs 0.0191 0.4809 0.5191  6 N 3.02-3.17
Cs 0.1250 0.6250 0.8750  8 N 3.32-3.40
P 0.0437 0.4524 0.1808  4 N 1.60-1.71
N 0.0081 0.3381 0.2750  2 P 1.60-1.62
N 0.0551 0.9449 0.4449  3 P 1.71
N 0.0645 0.8750 0.6855  2 P 1.63

- E_form (uncorrected) (eV/atom) = -0.764
- N(E_F) (states/eV/cell) = 0.00
- magnetic moment (μB per formula unit) = 0.00